SrAl2Pd2Pt | PBE | relaxed

Cell: 4.7278 4.7278 5.7841 Å, 90.00 90.00 90.00°
Closest atoms and distances in Å follow each position.
Fractional coordinates of all 6 atoms:
Sr  0.0000  0.0000  0.5000  2 Pt 2.89
Al  0.5000  0.0000  0.0000  2 Pt 2.36
Al  0.0000  0.5000  0.0000  2 Pt 2.36
Pd  0.5000  0.5000  0.7557  4 Al 2.75, 2 Pd 2.83-2.96
Pd  0.5000  0.5000  0.2443  4 Al 2.75, 2 Pd 2.83-2.96
Pt  0.0000  0.0000  0.0000  4 Al 2.36

Space group: P4/mmm (123)
Formation energy from the elements in kJ/mol of formula units: -358
Density of states at the Fermi level in states/eV/atom: 0.37
Total magnetization in μB per cell: 0.0